No. 1
# Hg2IBrCl | the Alexandria database | PBE-GGA | optimized geometry
# DFT total energy   -5.1 eV per cell
# Energy relative to the elements, uncorrected   11.17 kJ/mol of atoms
# Calculated density   6.21 g/cm3
data_Hg2IBrCl
_chemical_formula_sum 'Hg2 I1 Br1 Cl1'
_cell_length_a 5.753
_cell_length_b 5.753
_cell_length_c 5.198
_cell_angle_alpha 90.00
_cell_angle_beta 90.00
_cell_angle_gamma 90.00
_symmetry_space_group_name_H-M 'P 4/m m m'
_symmetry_Int_Tables_number 123
_symmetry_space_group_name_Hall '-P 4 2'
loop_
_atom_site_label
_atom_site_type_symbol
_atom_site_fract_x
_atom_site_fract_y
_atom_site_fract_z
Hg1 Hg 0.000 0.500 0.000
I1 I 0.000 0.000 0.500
Br1 Br 0.500 0.500 0.000
Cl1 Cl 0.500 0.500 0.500

No. 2
# KHfCl3 | the Alexandria database | PBE-GGA | optimized geometry
# DFT total energy   -23.2 eV per cell
# Energy relative to the elements, uncorrected   -128.20 kJ/mol of atoms
# Calculated density   4.18 g/cm3
data_KHfCl3
_chemical_formula_sum 'K1 Hf1 Cl3'
_cell_length_a 5.050
_cell_length_b 5.050
_cell_length_c 5.050
_cell_angle_alpha 90.00
_cell_angle_beta 90.00
_cell_angle_gamma 90.00
_symmetry_space_group_name_H-M 'P m -3 m'
_symmetry_Int_Tables_number 221
_symmetry_space_group_name_Hall '-P 4 2 3'
loop_
_atom_site_label
_atom_site_type_symbol
_atom_site_fract_x
_atom_site_fract_y
_atom_site_fract_z
K1 K 0.000 0.000 0.000
Hf1 Hf 0.500 0.500 0.500
Cl1 Cl 0.000 0.500 0.500

Among the records above, which one has the lowest calculated density? KHfCl3

Which of these has the highest energy relative to the elements, uncorrected? Hg2IBrCl